Record 1
First-principles (PBE) data for a relaxed NaLuFeW crystal, as listed in OQMD.

abc: 6.644 6.644 6.644
angles: 90.00 90.00 90.00
Positions (direct):
Na  0.000  0.000  0.000
Na  0.000  0.500  0.500
Na  0.500  0.000  0.500
Na  0.500  0.500  0.000
Lu  0.000  0.000  0.500
Lu  0.000  0.500  0.000
Lu  0.500  0.000  0.000
Lu  0.500  0.500  0.500
Fe  0.250  0.250  0.250
Fe  0.250  0.750  0.750
Fe  0.750  0.250  0.750
Fe  0.750  0.750  0.250
W  0.250  0.250  0.750
W  0.250  0.750  0.250
W  0.750  0.250  0.250
W  0.750  0.750  0.750

Calculated values
* offset from the most stable computed form: 438 meV per atom
* space-group type: F-43m, No. 216
* V: 293 Å³/cell
* magnetic moment: 4.5 μB per formula unit

---

Record 2
First-principles (PBE) data for a relaxed LaGdNi4 crystal, as listed in OQMD.

abc: 5.120 5.120 5.120
angles: 60.00 60.00 60.00
Positions (direct):
La  0.000  0.000  0.000
Gd  0.250  0.250  0.250
Ni  0.126  0.625  0.625
Ni  0.625  0.126  0.625
Ni  0.625  0.625  0.126
Ni  0.625  0.625  0.625

Calculated values
* offset from the most stable computed form: 0 meV per atom
* space-group type: F-43m, No. 216
* E_form: -0.3632 eV/atom
* V: 95 Å³/cell
* magnetic moment: 0.0 μB per formula unit

---

Record 3
First-principles (PBE) data for a relaxed ZrB crystal, as listed in OQMD.

abc: 5.238 4.709 7.087
angles: 90.00 90.00 90.00
Positions (direct):
Zr  0.000  0.000  0.000
Zr  0.250  0.000  0.369
Zr  0.250  0.500  0.699
Zr  0.500  0.000  0.000
Zr  0.750  0.000  0.631
Zr  0.750  0.500  0.301
B  0.250  0.000  0.703
B  0.250  0.500  0.117
B  0.250  0.500  0.350
B  0.750  0.000  0.297
B  0.750  0.500  0.650
B  0.750  0.500  0.883

Calculated values
* space-group type: Pmma, No. 51
* VASP energy: -15.6 eV/f.u.
* V: 175 Å³/cell
* magnetic moment: 0.0 μB per formula unit

---

Record 4
First-principles (PBE) data for a relaxed SmFeSi2Ni crystal, as listed in OQMD.

abc: 3.932 3.932 9.873
angles: 90.00 90.00 90.00
Positions (direct):
Sm  0.000  0.000  0.000
Sm  0.500  0.500  0.500
Fe  0.000  0.500  0.250
Fe  0.500  0.000  0.750
Si  0.000  0.000  0.371
Si  0.000  0.000  0.629
Si  0.500  0.500  0.129
Si  0.500  0.500  0.871
Ni  0.000  0.500  0.750
Ni  0.500  0.000  0.250

Calculated values
* space-group type: I-4m2, No. 119
* VASP energy: -33.1 eV/f.u.
* V: 153 Å³/cell
* magnetic moment: 0.0 μB per formula unit

---

Record 5
First-principles (PBE) data for a relaxed Lu2Ni12P7 crystal, as listed in OQMD.

abc: 9.001 9.001 3.655
angles: 90.00 90.00 120.00
Positions (direct):
Lu  0.000  0.000  0.000
Lu  0.333  0.667  0.500
Ni  0.049  0.763  0.500
Ni  0.103  0.395  0.000
Ni  0.237  0.286  0.500
Ni  0.293  0.897  0.000
Ni  0.390  0.210  0.000
Ni  0.546  0.122  0.500
Ni  0.576  0.454  0.500
Ni  0.605  0.707  0.000
Ni  0.714  0.951  0.500
Ni  0.790  0.179  0.000
Ni  0.821  0.610  0.000
Ni  0.878  0.424  0.500
P  0.075  0.626  0.000
P  0.258  0.038  0.500
P  0.374  0.449  0.000
P  0.551  0.925  0.000
P  0.667  0.333  0.000
P  0.780  0.742  0.500
P  0.962  0.220  0.500

Calculated values
* space-group type: P-6, No. 174
* VASP energy: -130.0 eV/f.u.
* V: 256 Å³/cell
* magnetic moment: 0.0 μB per formula unit

---

Record 6
First-principles (PBE) data for a relaxed LiErNO crystal, as listed in OQMD.

abc: 5.975 7.341 4.710
angles: 90.00 90.00 90.00
Positions (direct):
Li  0.082  0.093  0.000
Li  0.418  0.093  0.500
Li  0.582  0.907  0.000
Li  0.918  0.907  0.500
Er  0.045  0.663  0.011
Er  0.455  0.663  0.511
Er  0.545  0.337  0.011
Er  0.955  0.337  0.511
N  0.080  0.631  0.513
N  0.420  0.631  0.013
N  0.580  0.369  0.513
N  0.920  0.369  0.013
O  0.116  0.093  0.597
O  0.384  0.093  0.097
O  0.616  0.907  0.597
O  0.884  0.907  0.097

Calculated values
* offset from the most stable computed form: 196 meV per atom
* space-group type: Pca2_1, No. 29
* V: 207 Å³/cell
* magnetic moment: 0.9 μB per formula unit

---

Record 7
First-principles (PBE) data for a relaxed Cs2LiPdBr6 crystal, as listed in OQMD.

abc: 7.641 7.641 7.641
angles: 120.05 120.05 89.92
Positions (direct):
Cs  0.250  0.750  0.500
Cs  0.750  0.250  0.500
Li  0.000  0.000  0.000
Pd  0.500  0.500  0.000
Br  0.259  0.259  0.517
Br  0.259  0.741  0.000
Br  0.260  0.260  0.000
Br  0.740  0.740  0.000
Br  0.741  0.259  0.000
Br  0.741  0.741  0.483

Calculated values
* space-group type: I4/mmm, No. 139
* VASP energy: -29.9 eV/f.u.
* V: 315 Å³/cell

---

Record 8
First-principles (PBE) data for a relaxed YScFeSi crystal, as listed in OQMD.

abc: 6.422 6.422 6.422
angles: 90.00 90.00 90.00
Positions (direct):
Y  0.000  0.000  0.000
Y  0.000  0.500  0.500
Y  0.500  0.000  0.500
Y  0.500  0.500  0.000
Sc  0.250  0.250  0.250
Sc  0.250  0.750  0.750
Sc  0.750  0.250  0.750
Sc  0.750  0.750  0.250
Fe  0.250  0.250  0.750
Fe  0.250  0.750  0.250
Fe  0.750  0.250  0.250
Fe  0.750  0.750  0.750
Si  0.000  0.000  0.500
Si  0.000  0.500  0.000
Si  0.500  0.000  0.000
Si  0.500  0.500  0.500

Calculated values
* offset from the most stable computed form: 0 meV per atom
* space-group type: F-43m, No. 216
* V: 265 Å³/cell
* magnetic moment: 0.0 μB per formula unit

---

Record 9
First-principles (PBE) data for a relaxed TlCoMo4C2 crystal, as listed in OQMD.

abc: 3.101 3.101 13.287
angles: 90.00 90.00 120.00
Positions (direct):
Tl  0.000  0.000  0.000
Co  0.333  0.667  0.500
Mo  0.000  0.000  0.358
Mo  0.000  0.000  0.642
Mo  0.333  0.667  0.187
Mo  0.333  0.667  0.813
C  0.667  0.333  0.270
C  0.667  0.333  0.730

Calculated values
* space-group type: P-6m2, No. 187
* VASP energy: -69.9 eV/f.u.
* V: 111 Å³/cell
* magnetic moment: 0.3 μB per formula unit

---

Record 10
First-principles (PBE) data for a relaxed Rb2YErO4 crystal, as listed in OQMD.

abc: 3.454 3.454 12.910
angles: 90.00 90.00 120.00
Positions (direct):
Rb  0.333  0.667  0.250
Rb  0.667  0.333  0.750
Y  0.000  0.000  0.000
Er  0.000  0.000  0.500
O  0.333  0.667  0.588
O  0.333  0.667  0.909
O  0.667  0.333  0.091
O  0.667  0.333  0.412

Calculated values
* space-group type: P-3m1, No. 164
* VASP energy: -54.3 eV/f.u.
* V: 133 Å³/cell
* magnetic moment: 0.0 μB per formula unit

---

Record 11
First-principles (PBE) data for a relaxed TbP2Pd8 crystal, as listed in OQMD.

abc: 6.299 6.299 9.304
angles: 125.08 125.08 37.75
Positions (direct):
Tb  0.000  0.000  0.000
P  0.440  0.440  0.208
P  0.560  0.560  0.792
Pd  0.026  0.026  0.370
Pd  0.267  0.267  0.906
Pd  0.321  0.321  0.651
Pd  0.339  0.339  0.356
Pd  0.661  0.661  0.644
Pd  0.679  0.679  0.349
Pd  0.733  0.733  0.094
Pd  0.974  0.974  0.630

Calculated values
* space-group type: C2/m, No. 12
* VASP energy: -63.9 eV/f.u.
* V: 180 Å³/cell
* magnetic moment: 0.0 μB per formula unit

---

Record 12
First-principles (PBE) data for a relaxed ScCoAgB crystal, as listed in OQMD.

abc: 6.039 6.039 6.039
angles: 90.00 90.00 90.00
Positions (direct):
Sc  0.000  0.000  0.000
Sc  0.000  0.500  0.500
Sc  0.500  0.000  0.500
Sc  0.500  0.500  0.000
Co  0.000  0.000  0.500
Co  0.000  0.500  0.000
Co  0.500  0.000  0.000
Co  0.500  0.500  0.500
Ag  0.250  0.250  0.750
Ag  0.250  0.750  0.250
Ag  0.750  0.250  0.250
Ag  0.750  0.750  0.750
B  0.250  0.250  0.250
B  0.250  0.750  0.750
B  0.750  0.250  0.750
B  0.750  0.750  0.250

Calculated values
* offset from the most stable computed form: 0 meV per atom
* space-group type: F-43m, No. 216
* V: 220 Å³/cell
* magnetic moment: 0.0 μB per formula unit